RbTl2HgBr5 | PBE | relaxed

a = 8.891 Å, b = 8.891 Å, c = 10.349 Å
α = 115.44°, β = 115.44°, γ = 90.00°
Positions (direct):
Br 0.000 0.000 0.000
Br 0.983 0.483 0.292
Br 0.809 0.983 0.292
Br 0.517 0.691 0.708
Br 0.309 0.809 0.292
Br 0.191 0.017 0.708
Br 0.691 0.191 0.708
Br 0.017 0.517 0.708
Br 0.500 0.500 0.000
Br 0.483 0.309 0.292
Tl 0.660 0.160 0.000
Tl 0.840 0.660 0.000
Tl 0.340 0.840 0.000
Tl 0.160 0.340 0.000
Hg 0.750 0.250 0.500
Hg 0.250 0.750 0.500
Rb 0.250 0.250 0.500
Rb 0.750 0.750 0.500

Space-group type = I4/mcm (140)
Magnetic moment = 0.0 μB/f.u.
E_form (uncorrected) = -920 meV per atom
Fermi-level density of states = 0.00 states/eV/atom

RbTl2HgBr4 | PBE | relaxed

a = 5.272 Å, b = 7.920 Å, c = 16.329 Å
α = 90.00°, β = 90.00°, γ = 109.44°
Positions (direct):
Br 0.557 0.115 0.250
Br 0.737 0.474 0.625
Br 0.443 0.885 0.750
Br 0.263 0.526 0.375
Br 0.000 0.000 0.000
Br 0.263 0.526 0.125
Br 0.737 0.474 0.875
Br 0.000 0.000 0.500
Hg 0.892 0.785 0.750
Hg 0.108 0.215 0.250
Rb 0.149 0.297 0.750
Rb 0.851 0.703 0.250
Tl 0.629 0.257 0.457
Tl 0.371 0.743 0.957
Tl 0.629 0.257 0.043
Tl 0.371 0.743 0.543

Space-group type = Cmcm (63)
Magnetic moment = 0.0 μB/f.u.
E_form (uncorrected) = -881 meV per atom
Fermi-level density of states = 0.16 states/eV/atom

RbTl2HgBr6 | PBE | relaxed

a = 7.815 Å, b = 7.796 Å, c = 8.644 Å
α = 90.05°, β = 116.66°, γ = 120.08°
Positions (direct):
Tl 0.585 0.792 0.364
Tl 0.619 0.308 0.915
Br 0.084 0.350 0.157
Br 0.547 0.953 0.698
Br 0.119 0.165 0.700
Br 0.823 0.734 0.158
Br 0.440 0.088 0.158
Br 0.759 0.594 0.698
Rb 0.013 0.506 0.505
Hg 0.977 0.988 0.950

Space-group type = P1 (1)
Magnetic moment = 0.0 μB/f.u.
E_form (uncorrected) = -786 meV per atom
Fermi-level density of states = 0.61 states/eV/atom

Rb2TmHgBr6 | PBE | relaxed

a = 8.002 Å, b = 8.562 Å, c = 11.604 Å
α = 90.00°, β = 90.00°, γ = 90.00°
Positions (direct):
Tm 0.500 0.224 0.500
Tm 0.000 0.776 0.000
Br 0.247 0.442 0.500
Br 0.259 0.991 0.500
Br 0.753 0.442 0.500
Br 0.000 0.783 0.762
Br 0.253 0.558 0.000
Br 0.747 0.558 0.000
Br 0.759 0.009 0.000
Br 0.500 0.217 0.262
Br 0.500 0.217 0.738
Br 0.241 0.009 0.000
Br 0.000 0.783 0.238
Br 0.741 0.991 0.500
Hg 0.000 0.716 0.500
Hg 0.500 0.284 0.000
Rb 0.500 0.798 0.219
Rb 0.000 0.202 0.281
Rb 0.000 0.202 0.719
Rb 0.500 0.798 0.781

Space-group type = Pmmn (59)
Magnetic moment = 0.0 μB/f.u.
E_form (uncorrected) = -1447 meV per atom
Fermi-level density of states = 0.45 states/eV/atom

RbU2HgBr8 | PBE | relaxed

a = 8.130 Å, b = 8.130 Å, c = 8.169 Å
α = 90.00°, β = 90.00°, γ = 120.00°
Site moments in Bohr magnetons follow the coordinates.
Positions (direct):
Br 0.947 0.595 0.833  -0.03
Br 0.667 0.333 0.414  -0.03
Br 0.333 0.667 0.586  -0.03
Br 0.405 0.352 0.833  -0.03
Br 0.053 0.405 0.167  -0.03
Br 0.648 0.053 0.833  -0.03
Br 0.595 0.648 0.167  -0.03
Br 0.352 0.947 0.167  -0.03
U 0.333 0.667 0.924  2.51
U 0.667 0.333 0.076  2.51
Rb 0.000 0.000 0.500  0.00
Hg 0.000 0.000 0.000  -0.01

Space-group type = P-3 (147)
Magnetic moment = 5.0 μB/f.u.
E_form (uncorrected) = -1190 meV per atom
Fermi-level density of states = 1.22 states/eV/atom

Rb2UHgBr6 | PBE | relaxed

a = 7.857 Å, b = 10.983 Å, c = 12.041 Å
α = 90.00°, β = 90.00°, γ = 90.00°
Site moments in Bohr magnetons follow the coordinates.
Positions (direct):
Br 0.500 0.157 0.267  -0.02
Br 0.000 0.843 0.233  -0.02
Br 0.755 0.026 0.000  -0.03
Br 0.000 0.843 0.767  -0.02
Br 0.255 0.974 0.500  -0.03
Br 0.245 0.026 0.000  -0.03
Br 0.745 0.974 0.500  -0.03
Br 0.258 0.669 0.000  -0.03
Br 0.500 0.157 0.733  -0.02
Br 0.742 0.669 0.000  -0.03
Br 0.758 0.331 0.500  -0.03
Br 0.242 0.331 0.500  -0.03
Rb 0.000 0.154 0.295  0.00
Rb 0.500 0.846 0.795  0.00
Rb 0.500 0.846 0.205  0.00
Rb 0.000 0.154 0.705  0.00
Hg 0.000 0.642 0.500  0.00
Hg 0.500 0.358 0.000  0.00
U 0.000 0.841 0.000  2.09
U 0.500 0.159 0.500  2.09

Space-group type = Pmmn (59)
Magnetic moment = 2.0 μB/f.u.
E_form (uncorrected) = -1365 meV per atom
Fermi-level density of states = 0.55 states/eV/atom